# Ce2HgSb PBE relaxed
data_Ce2HgSb
_chemical_formula_sum 'Ce2 Hg1 Sb1'
_cell_length_a 5.1596
_cell_length_b 5.1596
_cell_length_c 4.2164
_cell_angle_alpha 90.00
_cell_angle_beta 90.00
_cell_angle_gamma 90.00
_space_group_name_H-M_alt 'P 4/m m m'
_space_group_IT_number 123
_space_group_name_Hall '-P 4 2'
loop_
_atom_site_label
_atom_site_type_symbol
_atom_site_fract_x
_atom_site_fract_y
_atom_site_fract_z
_atom_site_occupancy
Ce1 Ce 0.0000 0.5000 0.0000 1
Hg1 Hg 0.0000 0.0000 0.5000 1
Sb1 Sb 0.5000 0.5000 0.5000 1
# Formation energy (no corrections) (meV/atom): -603
# Energy above the most stable polymorph in this dataset (eV per formula unit): 0.00